A relaxed Mn3HgTe crystal. Source: Alexandria via LeMat-Bulk, functional PBE-GGA.

abc: 4.9749 4.9749 4.9749
angles: 90.00 90.00 90.00
Fractional coordinates of all 5 atoms:
Mn: 0.0000 0.0000 0.5000
Mn: 0.0000 0.5000 0.0000
Mn: 0.5000 0.0000 0.0000
Hg: 0.5000 0.5000 0.5000
Te: 0.0000 0.0000 0.0000

Computed properties:
V = 123.1 Å³ per cell
energy relative to the elements, uncorrected = 83.90 kJ per mole of atoms
space group = Pm-3m
DOS at the Fermi energy = 1.563 states/eV per cell